1.
## BaMgW2 (GGA-PBE)

Data for crystalline BaMgW2 at its relaxed geometry.

As for the formation energy: 3.08 eV/f.u. The value obtained for the calculated density is 9.820 Mg/m³. For the raw total energy, the calculation gives -52.691 eV/cell.

It has space group Cmm2 (No. 35), with a = 3.398 Å, b = 4.999 Å, c = 10.536 Å, α = 90.00°, β = 90.00° and γ = 90.00°. The asymmetric unit holds Ba at (0.000, 0.000, 0.000), Mg at (0.000, 0.500, 0.313), W at (0.000, 0.000, 0.538) and W at (0.000, 0.500, 0.719).

=====

2.
## PrDyEr2 (GGA-PBE)

Data for crystalline PrDyEr2 at its relaxed geometry.

The value obtained for the offset from the most stable computed form is 0.102 eV/atom. As for the formation energy: 0.47 eV/f.u. The value obtained for the calculated density is 8.151 Mg/m³. For the raw total energy, the calculation gives -72.134 eV/cell.

It has space group Fm-3m (No. 225), with a = 8.041 Å, b = 8.041 Å, c = 8.041 Å, α = 90.00°, β = 90.00° and γ = 90.00°. The asymmetric unit holds Pr at (0.000, 0.000, 0.000), Dy at (0.000, 0.000, 0.500) and Er at (0.250, 0.250, 0.250).

=====

3.
## Mg2CrRe (GGA-PBE)

Data for crystalline Mg2CrRe at its relaxed geometry.

The value obtained for the offset from the most stable computed form is 0.790 eV/atom. As for the formation energy: 3.79 eV/f.u. The value obtained for the calculated density is 7.572 Mg/m³. For the raw total energy, the calculation gives -85.895 eV/cell.

It has space group Fm-3m (No. 225), with a = 6.313 Å, b = 6.313 Å, c = 6.313 Å, α = 90.00°, β = 90.00° and γ = 90.00°. The asymmetric unit holds Mg at (0.250, 0.250, 0.250), Cr at (0.000, 0.000, 0.000) and Re at (0.000, 0.000, 0.500).

=====

4.
## TaMnTe3 (GGA-PBE)

Data for crystalline TaMnTe3 at its relaxed geometry.

The uncorrected formation energy comes out at 1068.7 meV per atom. The value obtained for the offset from the most stable computed form is 1.218 eV/atom. The value obtained for the calculated density is 8.577 Mg/m³. For the raw total energy, the calculation gives -25.104 eV/cell.

It has space group Pm-3m (No. 221), with a = 4.929 Å, b = 4.929 Å, c = 4.929 Å, α = 90.00°, β = 90.00° and γ = 90.00°. The asymmetric unit holds Ta at (0.000, 0.000, 0.000), Mn at (0.500, 0.500, 0.500) and Te at (0.000, 0.500, 0.500).

=====

5.
## TiNi10B3 (GGA-PBE)

Data for crystalline TiNi10B3 at its relaxed geometry.

As for the formation energy: -4.68 eV/f.u. The value obtained for the calculated density is 7.742 Mg/m³. For the raw total energy, the calculation gives -723.378 eV/cell.

It has space group Fm-3m (No. 225), with a = 10.461 Å, b = 10.461 Å, c = 10.461 Å, α = 90.00°, β = 90.00° and γ = 90.00°. The asymmetric unit holds Ti at (0.250, 0.250, 0.250), Ni at (0.000, 0.169, 0.169), Ni at (0.117, 0.117, 0.383) and B at (0.000, 0.000, 0.269).

=====

6.
## TbHo2Er3As6 (GGA-PBE)

Data for crystalline TbHo2Er3As6 at its relaxed geometry.

As for the formation energy: -18.31 eV/f.u. The value obtained for the calculated density is 8.196 Mg/m³. For the raw total energy, the calculation gives -147.365 eV/cell.

It has space group C2/m (No. 12), with a = 17.856 Å, b = 4.098 Å, c = 8.192 Å, α = 90.00°, β = 103.23° and γ = 90.00°. The asymmetric unit holds Tb at (0.000, 0.000, 0.000), Ho at (0.167, 0.500, 0.333), Er at (0.000, 0.000, 0.500), Er at (0.167, 0.500, 0.833), As at (0.000, 0.500, 0.252), As at (0.166, 0.000, 0.584) and As at (0.168, 0.000, 0.083).